# 1
First-principles (PBE-GGA) data for an optimized crystal structure of TlZnPbAu, as listed in Alexandria.

Structure (CIF):
```
data_TlZnPbAu
_cell_length_a 7.6509
_cell_length_b 4.5535
_cell_length_c 6.4570
_cell_angle_alpha 90.00
_cell_angle_beta 112.47
_cell_angle_gamma 90.00
_symmetry_space_group_name_H-M 'C 1 m 1'
_symmetry_Int_Tables_number 8
loop_
_symmetry_equiv_pos_as_xyz
'x,y,z'
'x,-y,z'
'x+1/2,y+1/2,z'
'x+1/2,-y+1/2,z'
loop_
_atom_site_label
_atom_site_type_symbol
_atom_site_fract_x
_atom_site_fract_y
_atom_site_fract_z
Tl1 Tl 0.0000 0.0000 0.0000
Zn1 Zn 0.4316 0.0000 0.2803
Pb1 Pb 0.2160 0.0000 0.6171
Au1 Au 0.2947 0.5000 0.3594
```

Values from the calculation:
The crystal system is monoclinic. The value obtained for the calculated formation energy is -15 meV per atom.

---

# 2
First-principles (PBE-GGA) data for an optimized crystal structure of Tm3Pb2Au, as listed in Alexandria.

Structure (CIF):
```
data_Tm3Pb2Au
_cell_length_a 12.2995
_cell_length_b 4.5506
_cell_length_c 11.6376
_cell_angle_alpha 90.00
_cell_angle_beta 90.00
_cell_angle_gamma 90.00
_symmetry_space_group_name_H-M 'P n m a'
_symmetry_Int_Tables_number 62
loop_
_symmetry_equiv_pos_as_xyz
'x,y,z'
'-x,-y,-z'
'-x+1/2,-y,z+1/2'
'x+1/2,y,-z+1/2'
'x+1/2,-y+1/2,-z+1/2'
'-x+1/2,y+1/2,z+1/2'
'-x,y+1/2,-z'
'x,-y+1/2,z'
loop_
_atom_site_label
_atom_site_type_symbol
_atom_site_fract_x
_atom_site_fract_y
_atom_site_fract_z
Tm1 Tm 0.0483 0.2500 0.1275
Tm2 Tm 0.1321 0.7500 0.5567
Tm3 Tm 0.2284 0.2500 0.7993
Pb1 Pb 0.0058 0.2500 0.6872
Pb2 Pb 0.1803 0.7500 0.0154
Au1 Au 0.1366 0.2500 0.3585
```

Values from the calculation:
The crystal system is orthorhombic. The value obtained for the calculated formation energy is -506 meV per atom.

---

The size of the total moment results, record by record, are as follows: 0.00 0.00 μB/cell.
The theoretical density results, record by record, are as follows: 10.77 11.40 g cm⁻³.